1.
# CaSm4Au4 | Alexandria via LeMat-Bulk | PBE | optimized geometry
data_CaSm4Au4
_space_group_name_H-M_alt 'P 1'
_space_group_IT_number 1
_space_group_name_Hall 'P 1'
_cell_length_a 9.481
_cell_length_b 9.481
_cell_length_c 5.975
_cell_angle_alpha 90.00
_cell_angle_beta 90.00
_cell_angle_gamma 90.00
loop_
_atom_site_label
_atom_site_type_symbol
_atom_site_fract_x
_atom_site_fract_y
_atom_site_fract_z
Ca1 Ca 0.250 0.250 0.250
Ca2 Ca 0.750 0.750 0.750
Sm1 Sm 0.073 0.656 0.163
Sm2 Sm 0.156 0.927 0.663
Sm3 Sm 0.344 0.573 0.663
Sm4 Sm 0.427 0.844 0.163
Sm5 Sm 0.573 0.156 0.837
Sm6 Sm 0.656 0.427 0.337
Sm7 Sm 0.844 0.073 0.337
Sm8 Sm 0.927 0.344 0.837
Au1 Au 0.036 0.626 0.660
Au2 Au 0.126 0.964 0.160
Au3 Au 0.374 0.536 0.160
Au4 Au 0.464 0.874 0.660
Au5 Au 0.536 0.126 0.340
Au6 Au 0.626 0.464 0.840
Au7 Au 0.874 0.036 0.840
Au8 Au 0.964 0.374 0.340
# Crystal system: tetragonal
# Energy relative to the elements: -0.603 eV per atom
# Space group: P4_2/n (86)


2.
# Dy2CrC2 | Alexandria via LeMat-Bulk | PBE | optimized geometry
data_Dy2CrC2
_space_group_name_H-M_alt 'P 1'
_space_group_IT_number 1
_space_group_name_Hall 'P 1'
_cell_length_a 6.031
_cell_length_b 6.031
_cell_length_c 6.622
_cell_angle_alpha 116.23
_cell_angle_beta 116.23
_cell_angle_gamma 49.77
loop_
_atom_site_label
_atom_site_type_symbol
_atom_site_fract_x
_atom_site_fract_y
_atom_site_fract_z
Dy1 Dy 0.035 0.035 0.279
Dy2 Dy 0.318 0.318 0.880
Dy3 Dy 0.682 0.682 0.120
Dy4 Dy 0.965 0.965 0.721
Cr1 Cr 0.365 0.365 0.371
Cr2 Cr 0.635 0.635 0.629
C1 C 0.188 0.188 0.116
C2 C 0.493 0.493 0.711
C3 C 0.507 0.507 0.289
C4 C 0.812 0.812 0.884
# Crystal system: monoclinic
# Energy relative to the elements: -0.265 eV per atom
# Space group: C2/m (12)


3.
# PuPaRh3 | Alexandria via LeMat-Bulk | PBE | optimized geometry
data_PuPaRh3
_space_group_name_H-M_alt 'P 1'
_space_group_IT_number 1
_space_group_name_Hall 'P 1'
_cell_length_a 8.243
_cell_length_b 7.715
_cell_length_c 6.368
_cell_angle_alpha 90.00
_cell_angle_beta 90.00
_cell_angle_gamma 90.00
loop_
_atom_site_label
_atom_site_type_symbol
_atom_site_fract_x
_atom_site_fract_y
_atom_site_fract_z
Pu1 Pu 0.097 0.250 0.005
Pu2 Pu 0.403 0.750 0.505
Pu3 Pu 0.597 0.250 0.495
Pu4 Pu 0.903 0.750 0.995
Pa1 Pa 0.000 0.000 0.500
Pa2 Pa 0.000 0.500 0.500
Pa3 Pa 0.500 0.000 0.000
Pa4 Pa 0.500 0.500 0.000
Rh1 Rh 0.180 0.750 0.189
Rh2 Rh 0.192 0.572 0.787
Rh3 Rh 0.192 0.928 0.787
Rh4 Rh 0.308 0.072 0.287
Rh5 Rh 0.308 0.428 0.287
Rh6 Rh 0.320 0.250 0.689
Rh7 Rh 0.680 0.750 0.311
Rh8 Rh 0.692 0.572 0.713
Rh9 Rh 0.692 0.928 0.713
Rh10 Rh 0.808 0.072 0.213
Rh11 Rh 0.808 0.428 0.213
Rh12 Rh 0.820 0.250 0.811
# Polymorph energy (0 for the lowest one): 103 meV per atom
# Crystal system: orthorhombic
# Energy relative to the elements: -0.523 eV per atom
# Space group: Pnma (62)


4.
# NaBeCoBi2 | Alexandria via LeMat-Bulk | PBE | optimized geometry
data_NaBeCoBi2
_space_group_name_H-M_alt 'P 1'
_space_group_IT_number 1
_space_group_name_Hall 'P 1'
_cell_length_a 5.369
_cell_length_b 5.369
_cell_length_c 4.633
_cell_angle_alpha 90.00
_cell_angle_beta 90.00
_cell_angle_gamma 90.00
loop_
_atom_site_label
_atom_site_type_symbol
_atom_site_fract_x
_atom_site_fract_y
_atom_site_fract_z
Na1 Na 0.000 0.000 0.000
Be1 Be 0.500 0.500 0.500
Co1 Co 0.000 0.000 0.500
Bi1 Bi 0.000 0.500 0.000
Bi2 Bi 0.500 0.000 0.000
# Polymorph energy (0 for the lowest one): 1254 meV per atom
# Crystal system: tetragonal
# Energy relative to the elements: 1.549 eV per atom
# Space group: P4/mmm (123)


5.
# LaCo2Pb | Alexandria via LeMat-Bulk | PBE | optimized geometry
data_LaCo2Pb
_space_group_name_H-M_alt 'P 1'
_space_group_IT_number 1
_space_group_name_Hall 'P 1'
_cell_length_a 5.806
_cell_length_b 5.806
_cell_length_c 5.806
_cell_angle_alpha 140.61
_cell_angle_beta 140.61
_cell_angle_gamma 56.93
loop_
_atom_site_label
_atom_site_type_symbol
_atom_site_fract_x
_atom_site_fract_y
_atom_site_fract_z
La1 La 0.000 0.000 0.000
Co1 Co 0.500 0.500 0.000
Co2 Co 0.750 0.250 0.500
Pb1 Pb 0.250 0.750 0.500
# Crystal system: tetragonal
# Energy relative to the elements: 0.300 eV per atom
# Space group: I-4m2 (119)


6.
# B5C7 | Alexandria via LeMat-Bulk | PBE | optimized geometry
data_B5C7
_space_group_name_H-M_alt 'P 1'
_space_group_IT_number 1
_space_group_name_Hall 'P 1'
_cell_length_a 7.042
_cell_length_b 7.042
_cell_length_c 4.627
_cell_angle_alpha 109.05
_cell_angle_beta 109.05
_cell_angle_gamma 21.69
loop_
_atom_site_label
_atom_site_type_symbol
_atom_site_fract_x
_atom_site_fract_y
_atom_site_fract_z
B1 B 0.000 0.000 0.000
B2 B 0.141 0.141 0.814
B3 B 0.316 0.316 0.988
B4 B 0.503 0.503 0.515
B5 B 0.793 0.793 0.460
C1 C 0.132 0.132 0.148
C2 C 0.338 0.338 0.675
C3 C 0.451 0.451 0.790
C4 C 0.629 0.629 0.624
C5 C 0.660 0.660 0.335
C6 C 0.840 0.840 0.182
C7 C 0.954 0.954 0.292
# Polymorph energy (0 for the lowest one): 59 meV per atom
# Crystal system: monoclinic
# Energy relative to the elements: 0.317 eV per atom
# Space group: Cm (8)


7.
# K2BeOs | Alexandria via LeMat-Bulk | PBE | optimized geometry
data_K2BeOs
_space_group_name_H-M_alt 'P 1'
_space_group_IT_number 1
_space_group_name_Hall 'P 1'
_cell_length_a 4.910
_cell_length_b 4.910
_cell_length_c 4.910
_cell_angle_alpha 60.00
_cell_angle_beta 60.00
_cell_angle_gamma 60.00
loop_
_atom_site_label
_atom_site_type_symbol
_atom_site_fract_x
_atom_site_fract_y
_atom_site_fract_z
K1 K 0.000 0.000 0.000
K2 K 0.250 0.250 0.250
Be1 Be 0.750 0.750 0.750
Os1 Os 0.500 0.500 0.500
# Crystal system: cubic
# Energy relative to the elements: 1.540 eV per atom
# Space group: F-43m (216)


8.
# Ac8LaPr2 | Alexandria via LeMat-Bulk | PBE | optimized geometry
data_Ac8LaPr2
_space_group_name_H-M_alt 'P 1'
_space_group_IT_number 1
_space_group_name_Hall 'P 1'
_cell_length_a 9.250
_cell_length_b 9.250
_cell_length_c 6.258
_cell_angle_alpha 99.62
_cell_angle_beta 99.62
_cell_angle_gamma 87.43
loop_
_atom_site_label
_atom_site_type_symbol
_atom_site_fract_x
_atom_site_fract_y
_atom_site_fract_z
Ac1 Ac 0.081 0.081 0.294
Ac2 Ac 0.149 0.641 0.207
Ac3 Ac 0.233 0.233 0.889
Ac4 Ac 0.359 0.851 0.793
Ac5 Ac 0.641 0.149 0.207
Ac6 Ac 0.767 0.767 0.111
Ac7 Ac 0.851 0.359 0.793
Ac8 Ac 0.919 0.919 0.706
La1 La 0.500 0.500 0.000
Pr1 Pr 0.367 0.367 0.477
Pr2 Pr 0.633 0.633 0.523
# Polymorph energy (0 for the lowest one): 268 meV per atom
# Crystal system: monoclinic
# Energy relative to the elements: 0.370 eV per atom
# Space group: C2/m (12)


| no. | spin magnetization (μB/f.u.) | D(E_F) (states/eV per cell) |
| --- | --- | --- |
| 1 | 0.00 | 16.7 |
| 2 | 0.00 | 5.4 |
| 3 | 4.78 | 45.4 |
| 4 | 1.59 | 5.4 |
| 5 | 0.36 | 3.0 |
| 6 | 0.00 | 2.2 |
| 7 | 0.04 | 7.5 |
| 8 | 0.00 | 17.6 |